Entry 1:
First-principles (GGA-PBEsol) data for an optimized crystal structure of Nd2In, as listed in the Alexandria database.

a = 5.462 Å, b = 5.462 Å, c = 6.812 Å
α = 90.00°, β = 90.00°, γ = 120.00°
Positions (direct):
Nd 0.000 0.000 0.000
Nd 0.000 0.000 0.500
Nd 0.333 0.667 0.250
Nd 0.667 0.333 0.750
In 0.333 0.667 0.750
In 0.667 0.333 0.250

Computed properties:
Its total DFT energy (no corrections) is -4.807 eV per atom.

=====

Entry 2:
First-principles (GGA-PBEsol) data for an optimized crystal structure of Sr2GaCuSO3, as listed in the Alexandria database.

a = 3.848 Å, b = 3.848 Å, c = 15.537 Å
α = 90.00°, β = 90.00°, γ = 90.00°
Positions (direct):
Sr 0.250 0.250 0.087
Sr 0.250 0.250 0.318
Sr 0.750 0.750 0.682
Sr 0.750 0.750 0.913
Ga 0.250 0.250 0.810
Ga 0.750 0.750 0.190
Cu 0.250 0.750 0.500
Cu 0.750 0.250 0.500
S 0.250 0.250 0.589
S 0.750 0.750 0.411
O 0.250 0.250 0.931
O 0.250 0.750 0.214
O 0.250 0.750 0.786
O 0.750 0.250 0.214
O 0.750 0.250 0.786
O 0.750 0.750 0.069

Computed properties:
The uncorrected formation energy is -16.303 eV/f.u.

=====

Entry 3:
First-principles (GGA-PBEsol) data for an optimized crystal structure of NiRh2SeN, as listed in the Alexandria database.

a = 4.498 Å, b = 4.498 Å, c = 4.220 Å
α = 90.00°, β = 90.00°, γ = 90.00°
Positions (direct):
Ni 0.000 0.000 0.000
Rh 0.000 0.500 0.500
Rh 0.500 0.000 0.500
Se 0.000 0.000 0.500
N 0.500 0.500 0.000

Computed properties:
The uncorrected formation energy is 8.632 eV/f.u.

=====

Entry 4:
First-principles (GGA-PBEsol) data for an optimized crystal structure of MgGeO3, as listed in the Alexandria database.

a = 5.413 Å, b = 5.413 Å, c = 5.413 Å
α = 54.59°, β = 54.59°, γ = 54.59°
Positions (direct):
Mg 0.141 0.141 0.141
Mg 0.859 0.859 0.859
Ge 0.347 0.347 0.347
Ge 0.653 0.653 0.653
O 0.059 0.454 0.719
O 0.281 0.941 0.546
O 0.454 0.719 0.059
O 0.546 0.281 0.941
O 0.719 0.059 0.454
O 0.941 0.546 0.281

Computed properties:
The uncorrected formation energy is -10.958 eV/f.u.

=====

Entry 5:
First-principles (GGA-PBEsol) data for an optimized crystal structure of Se2IF, as listed in the Alexandria database.

a = 4.769 Å, b = 4.769 Å, c = 4.769 Å
α = 60.00°, β = 60.00°, γ = 60.00°
Positions (direct):
Se 0.250 0.250 0.250
Se 0.750 0.750 0.750
I 0.000 0.000 0.000
F 0.500 0.500 0.500

Computed properties:
The uncorrected formation energy is 0.643 eV/f.u.

=====

Entry 6:
First-principles (GGA-PBEsol) data for an optimized crystal structure of SrBeAu2, as listed in the Alexandria database.

a = 8.299 Å, b = 8.299 Å, c = 8.299 Å
α = 143.61°, β = 143.61°, γ = 52.41°
Positions (direct):
Sr 0.375 0.625 0.750
Sr 0.625 0.375 0.250
Be 0.125 0.875 0.250
Be 0.875 0.125 0.750
Au 0.000 0.000 0.000
Au 0.000 0.000 0.500
Au 0.000 0.500 0.000
Au 0.500 0.000 0.500

Computed properties:
Its total DFT energy (no corrections) is -3.705 eV per atom.

=====

Entry 7:
First-principles (GGA-PBEsol) data for an optimized crystal structure of Te2IrRh, as listed in the Alexandria database.

a = 7.042 Å, b = 7.042 Å, c = 7.042 Å
α = 130.25°, β = 130.25°, γ = 73.00°
Positions (direct):
Te 0.124 0.625 0.999
Te 0.375 0.374 0.499
Te 0.626 0.125 0.001
Te 0.875 0.876 0.501
Ir 0.250 0.750 0.500
Ir 0.500 0.500 0.000
Rh 0.000 0.000 0.000
Rh 0.750 0.250 0.500

Computed properties:
The uncorrected formation energy is 0.659 eV/f.u.

=====

Entry 8:
First-principles (GGA-PBEsol) data for an optimized crystal structure of HfIO3, as listed in the Alexandria database.

a = 4.128 Å, b = 4.128 Å, c = 4.128 Å
α = 90.00°, β = 90.00°, γ = 90.00°
Positions (direct):
Hf 0.000 0.000 0.000
I 0.500 0.500 0.500
O 0.000 0.000 0.500
O 0.000 0.500 0.000
O 0.500 0.000 0.000

Computed properties:
The uncorrected formation energy is -8.427 eV/f.u.

=====

Entry 9:
First-principles (GGA-PBEsol) data for an optimized crystal structure of Mg2NbCuPb, as listed in the Alexandria database.

a = 4.693 Å, b = 4.693 Å, c = 4.941 Å
α = 90.00°, β = 90.00°, γ = 90.00°
Positions (direct):
Mg 0.000 0.500 0.000
Mg 0.500 0.000 0.000
Nb 0.000 0.000 0.500
Cu 0.500 0.500 0.000
Pb 0.500 0.500 0.500

Computed properties:
Its total DFT energy (no corrections) is -3.754 eV per atom.

=====

Entry 10:
First-principles (GGA-PBEsol) data for an optimized crystal structure of Mg2IrW, as listed in the Alexandria database.

a = 9.246 Å, b = 9.246 Å, c = 9.246 Å
α = 17.67°, β = 17.67°, γ = 17.67°
Positions (direct):
Mg 0.245 0.245 0.245
Mg 0.755 0.755 0.755
Ir 0.500 0.500 0.500
W 0.000 0.000 0.000

Computed properties:
Its total DFT energy (no corrections) is -6.558 eV per atom.

=====

Entry 11:
First-principles (GGA-PBEsol) data for an optimized crystal structure of NaAg3O2, as listed in the Alexandria database.

a = 6.706 Å, b = 6.706 Å, c = 6.706 Å
α = 126.20°, β = 78.36°, γ = 127.66°
Positions (direct):
Na 0.250 0.250 0.000
Na 0.750 0.750 0.000
Ag 0.000 0.000 0.500
Ag 0.000 0.500 0.000
Ag 0.000 0.500 0.500
Ag 0.500 0.000 0.000
Ag 0.500 0.000 0.500
Ag 0.500 0.500 0.500
O 0.112 0.213 0.325
O 0.388 0.713 0.102
O 0.612 0.287 0.898
O 0.888 0.787 0.675

Computed properties:
The uncorrected formation energy is -2.703 eV/f.u.

=====

Entry 12:
First-principles (GGA-PBEsol) data for an optimized crystal structure of CdTe2Pb, as listed in the Alexandria database.

a = 7.585 Å, b = 7.585 Å, c = 7.585 Å
α = 33.71°, β = 33.71°, γ = 33.71°
Positions (direct):
Cd 0.000 0.000 0.000
Te 0.257 0.257 0.257
Te 0.743 0.743 0.743
Pb 0.500 0.500 0.500

Computed properties:
The uncorrected formation energy is -1.235 eV/f.u.